Record 1
# Tl3Ga2Au7 PBE-GGA optimized geometry
data_Tl3Ga2Au7
_chemical_formula_sum 'Tl6 Ga4 Au14'
_cell_length_a 4.138
_cell_length_b 33.876
_cell_length_c 4.050
_cell_angle_alpha 90.00
_cell_angle_beta 90.00
_cell_angle_gamma 90.00
_space_group_name_H-M_alt 'C m m m'
_space_group_IT_number 65
_space_group_name_Hall '-C 2 2'
loop_
_atom_site_label
_atom_site_type_symbol
_atom_site_fract_x
_atom_site_fract_y
_atom_site_fract_z
_atom_site_occupancy
Tl1 Tl 0.000 0.000 0.000 1
Tl2 Tl 0.000 0.212 0.000 1
Ga1 Ga 0.000 0.426 0.500 1
Au1 Au 0.000 0.123 0.500 1
Au2 Au 0.000 0.314 0.500 1
Au3 Au 0.000 0.377 0.000 1
Au4 Au 0.000 0.500 0.500 1
# Total moment = 0.0 Bohr magnetons per cell
# Formation energy from the elements = -0.0270 eV per atom
# Crystal system = orthorhombic

***

Record 2
# BaZrClO2 PBE-GGA optimized geometry
data_BaZrClO2
_chemical_formula_sum 'Ba1 Zr1 Cl1 O2'
_cell_length_a 4.088
_cell_length_b 4.088
_cell_length_c 6.897
_cell_angle_alpha 90.00
_cell_angle_beta 90.00
_cell_angle_gamma 90.00
_space_group_name_H-M_alt 'P 4 m m'
_space_group_IT_number 99
_space_group_name_Hall 'P 4 -2'
loop_
_atom_site_label
_atom_site_type_symbol
_atom_site_fract_x
_atom_site_fract_y
_atom_site_fract_z
_atom_site_occupancy
Ba1 Ba 0.000 0.000 0.000 1
Zr1 Zr 0.500 0.500 0.323 1
Cl1 Cl 0.500 0.500 0.717 1
O1 O 0.000 0.500 0.260 1
# Total moment = 0.1 Bohr magnetons per cell
# Formation energy without anion corrections = -12.937 eV per formula unit
# Crystal system = tetragonal

***

Record 3
# TmTcAs PBE-GGA optimized geometry
data_TmTcAs
_chemical_formula_sum 'Tm4 Tc4 As4'
_cell_length_a 7.131
_cell_length_b 3.989
_cell_length_c 8.038
_cell_angle_alpha 90.00
_cell_angle_beta 91.61
_cell_angle_gamma 90.00
_space_group_name_H-M_alt 'P 1 21/c 1'
_space_group_IT_number 14
_space_group_name_Hall '-P 2ybc'
loop_
_atom_site_label
_atom_site_type_symbol
_atom_site_fract_x
_atom_site_fract_y
_atom_site_fract_z
_atom_site_occupancy
Tm1 Tm 0.163 0.249 0.377 1
Tc1 Tc 0.498 0.749 0.401 1
As1 As 0.258 0.749 0.137 1
# Total moment = 0.0 Bohr magnetons per cell
# Formation energy from the elements = -0.6722 eV per atom
# Crystal system = monoclinic

***

Record 4
# NaTcRhS3 PBE-GGA optimized geometry
data_NaTcRhS3
_chemical_formula_sum 'Na2 Tc2 Rh2 S6'
_cell_length_a 7.434
_cell_length_b 3.418
_cell_length_c 9.542
_cell_angle_alpha 90.00
_cell_angle_beta 109.09
_cell_angle_gamma 90.00
_space_group_name_H-M_alt 'P 1 21/m 1'
_space_group_IT_number 11
_space_group_name_Hall '-P 2yb'
loop_
_atom_site_label
_atom_site_type_symbol
_atom_site_fract_x
_atom_site_fract_y
_atom_site_fract_z
_atom_site_occupancy
Na1 Na 0.244 0.250 0.246 1
Tc1 Tc 0.098 0.250 0.621 1
Rh1 Rh 0.310 0.750 0.867 1
S1 S 0.094 0.250 0.863 1
S2 S 0.222 0.750 0.509 1
S3 S 0.467 0.750 0.132 1
# Total moment = 0.0 Bohr magnetons per cell
# Formation energy without anion corrections = -3.560 eV per formula unit
# Crystal system = monoclinic

***

Record 5
# AcTlPtPb PBE-GGA optimized geometry
data_AcTlPtPb
_chemical_formula_sum 'Ac4 Tl4 Pt4 Pb4'
_cell_length_a 7.585
_cell_length_b 7.585
_cell_length_c 7.585
_cell_angle_alpha 90.00
_cell_angle_beta 90.00
_cell_angle_gamma 90.00
_space_group_name_H-M_alt 'F -4 3 m'
_space_group_IT_number 216
_space_group_name_Hall 'F -4 2 3'
loop_
_atom_site_label
_atom_site_type_symbol
_atom_site_fract_x
_atom_site_fract_y
_atom_site_fract_z
_atom_site_occupancy
Ac1 Ac 0.000 0.000 0.000 1
Tl1 Tl 0.250 0.250 0.250 1
Pt1 Pt 0.250 0.250 0.750 1
Pb1 Pb 0.000 0.000 0.500 1
# Total moment = 0.0 Bohr magnetons per cell
# Formation energy from the elements = -0.4226 eV per atom
# Crystal system = cubic

***

Record 6
# SrAg2Pb PBE-GGA optimized geometry
data_SrAg2Pb
_chemical_formula_sum 'Sr2 Ag4 Pb2'
_cell_length_a 8.495
_cell_length_b 4.901
_cell_length_c 6.083
_cell_angle_alpha 90.00
_cell_angle_beta 117.60
_cell_angle_gamma 90.00
_space_group_name_H-M_alt 'C 1 m 1'
_space_group_IT_number 8
_space_group_name_Hall 'C -2y'
loop_
_atom_site_label
_atom_site_type_symbol
_atom_site_fract_x
_atom_site_fract_y
_atom_site_fract_z
_atom_site_occupancy
Sr1 Sr 0.000 0.000 0.000 1
Ag1 Ag 0.295 0.500 0.385 1
Ag2 Ag 0.475 0.000 0.424 1
Pb1 Pb 0.210 0.000 0.628 1
# Total moment = 0.0 Bohr magnetons per cell
# Formation energy from the elements = -0.2094 eV per atom
# Crystal system = monoclinic

***

Record 7
# Y2TaAl PBE-GGA optimized geometry
data_Y2TaAl
_chemical_formula_sum 'Y4 Ta2 Al2'
_cell_length_a 11.459
_cell_length_b 3.195
_cell_length_c 5.455
_cell_angle_alpha 90.00
_cell_angle_beta 107.07
_cell_angle_gamma 90.00
_space_group_name_H-M_alt 'C 1 m 1'
_space_group_IT_number 8
_space_group_name_Hall 'C -2y'
loop_
_atom_site_label
_atom_site_type_symbol
_atom_site_fract_x
_atom_site_fract_y
_atom_site_fract_z
_atom_site_occupancy
Y1 Y 0.000 0.000 0.000 1
Y2 Y 0.203 0.000 0.641 1
Ta1 Ta 0.442 0.000 0.463 1
Al1 Al 0.254 0.500 0.170 1
# Total moment = 0.0 Bohr magnetons per cell
# Formation energy from the elements = 0.0411 eV per atom
# Crystal system = monoclinic

***

Record 8
# NbCrOs PBE-GGA optimized geometry
data_NbCrOs
_chemical_formula_sum 'Nb4 Cr4 Os4'
_cell_length_a 4.895
_cell_length_b 5.273
_cell_length_c 6.993
_cell_angle_alpha 90.00
_cell_angle_beta 90.00
_cell_angle_gamma 90.00
_space_group_name_H-M_alt 'I m m a'
_space_group_IT_number 74
_space_group_name_Hall '-I 2b 2'
loop_
_atom_site_label
_atom_site_type_symbol
_atom_site_fract_x
_atom_site_fract_y
_atom_site_fract_z
_atom_site_occupancy
Nb1 Nb 0.000 0.250 0.118 1
Cr1 Cr 0.250 0.250 0.750 1
Os1 Os 0.000 0.000 0.500 1
# Total moment = 0.0 Bohr magnetons per cell
# Formation energy from the elements = -0.1423 eV per atom
# Distance to the lowest polymorph of the same formula = 0 meV per atom
# Crystal system = orthorhombic